No. 1
Entry from Alexandria: La2Pr2NdMg after structural relaxation (GGA-PBE).

a = 7.022 Å, b = 6.534 Å, c = 10.286 Å
α = 108.52°, β = 109.96°, γ = 90.00°
Atoms (fractional coordinates):
Pr 0.498 0.348 0.696
La 0.314 0.151 0.302
Mg 0.500 0.250 0.000
Pr 0.198 0.848 0.696
Pr 0.802 0.152 0.304
Nd 0.000 0.750 0.000
Nd 0.000 0.250 0.000
La 0.012 0.349 0.698
Pr 0.502 0.652 0.304
Mg 0.500 0.750 0.000
La 0.686 0.849 0.698
La 0.988 0.651 0.302

Properties
- crystal system = orthorhombic
- DOS(E_F) (states/eV per atom) = 1.435
- VASP energy (eV per atom) = -4.145



No. 2
Entry from Alexandria: La2Pr6Nd3Mg after structural relaxation (GGA-PBE).

a = 6.368 Å, b = 6.368 Å, c = 12.171 Å
α = 95.07°, β = 95.07°, γ = 120.04°
Atoms (fractional coordinates):
Nd 0.833 0.167 0.500
Nd 0.167 0.833 0.500
Nd 0.500 0.500 0.500
Pr 0.918 0.589 0.751
Pr 0.247 0.247 0.749
Pr 0.082 0.411 0.249
La 0.668 0.332 0.000
Pr 0.589 0.918 0.751
Mg 0.000 0.000 0.000
La 0.332 0.668 0.000
Pr 0.753 0.753 0.251
Pr 0.411 0.082 0.249

Properties
- crystal system = monoclinic
- DOS(E_F) (states/eV per atom) = 1.418
- VASP energy (eV per atom) = -4.527



No. 3
Entry from Alexandria: LaPr6Nd2Mg after structural relaxation (GGA-PBE).

a = 9.723 Å, b = 8.753 Å, c = 8.753 Å
α = 106.02°, β = 96.57°, γ = 96.57°
Atoms (fractional coordinates):
Pr 0.672 0.969 0.538
Pr 0.405 0.565 0.330
La 0.750 0.065 0.935
Pr 0.905 0.330 0.565
Pr 0.595 0.435 0.670
Pr 0.075 0.080 0.732
La 0.250 0.935 0.065
Pr 0.575 0.732 0.080
Pr 0.425 0.268 0.920
Pr 0.925 0.920 0.268
Pr 0.095 0.670 0.435
Pr 0.172 0.538 0.969
Nd 0.592 0.205 0.268
Pr 0.828 0.462 0.031
Mg 0.250 0.399 0.601
Nd 0.092 0.268 0.205
Mg 0.750 0.601 0.399
Nd 0.908 0.732 0.795
Nd 0.408 0.795 0.732
Pr 0.328 0.031 0.462

Properties
- crystal system = monoclinic
- DOS(E_F) (states/eV per atom) = 1.403
- VASP energy (eV per atom) = -4.382



No. 4
Entry from Alexandria: La3Pr2Nd6Mg after structural relaxation (GGA-PBE).

a = 6.345 Å, b = 6.345 Å, c = 12.163 Å
α = 95.04°, β = 95.04°, γ = 120.05°
Atoms (fractional coordinates):
Pr 0.333 0.667 0.000
Mg 0.000 0.000 0.000
Nd 0.919 0.589 0.753
Nd 0.248 0.248 0.752
La 0.168 0.832 0.500
La 0.500 0.500 0.500
La 0.832 0.168 0.500
Nd 0.752 0.752 0.248
Nd 0.411 0.081 0.247
Pr 0.667 0.333 0.000
Nd 0.589 0.919 0.753
Nd 0.081 0.411 0.247

Properties
- crystal system = monoclinic
- DOS(E_F) (states/eV per atom) = 1.400
- VASP energy (eV per atom) = -4.531